# TePCl PBE-GGA relaxed
data_TePCl
_chemical_formula_sum 'Te1 P1 Cl1'
_cell_length_a 7.649
_cell_length_b 7.332
_cell_length_c 3.393
_cell_angle_alpha 82.18
_cell_angle_beta 71.75
_cell_angle_gamma 26.07
_space_group_name_H-M_alt 'P 1'
_space_group_IT_number 1
_space_group_name_Hall 'P 1'
loop_
_atom_site_label
_atom_site_type_symbol
_atom_site_fract_x
_atom_site_fract_y
_atom_site_fract_z
Te1 Te 0.000 0.000 0.000
P1 P 0.639 0.639 0.361
Cl1 Cl 0.262 0.262 0.738
# Formation energy (no corrections) = 0.27 eV/atom
# Crystal system = orthorhombic
# Magnetization = 0.00 Bohr magnetons per cell